Computed, not measured: Ac5TlHg2 after structural relaxation at the GGA-PBE level of DFT.

Space group: I4/mcm
Formation energy from the elements: -2.54 eV/f.u.
Magnetic moment: 0.00 μB per atom

Cell: 9.5666 9.5666 9.5666 Å, 122.64 122.64 85.49°
Fractional coordinates of all 16 atoms:
Ac (0.0000, 0.0000, 0.0000)
Ac (0.0078, 0.5078, 0.8100)
Ac (0.1978, 0.0078, 0.5000)
Ac (0.3022, 0.8022, 0.8100)
Ac (0.4922, 0.3022, 0.5000)
Ac (0.5000, 0.5000, 0.0000)
Ac (0.5078, 0.6978, 0.5000)
Ac (0.6978, 0.1978, 0.1900)
Ac (0.8022, 0.9922, 0.5000)
Ac (0.9922, 0.4922, 0.1900)
Tl (0.2500, 0.2500, 0.0000)
Tl (0.7500, 0.7500, 0.0000)
Hg (0.1394, 0.3606, 0.5000)
Hg (0.3606, 0.8606, 0.2213)
Hg (0.6394, 0.1394, 0.7787)
Hg (0.8606, 0.6394, 0.5000)

Computed, not measured: Ac5Tl5Hg2 after structural relaxation at the GGA-PBE level of DFT.

Space group: C2/m
Formation energy from the elements: -4.20 eV/f.u.
Magnetic moment: 0.00 μB per atom

Cell: 9.2238 9.2238 11.2109 Å, 126.83 126.83 32.63°
Fractional coordinates of all 12 atoms:
Ac (0.0000, 0.0000, 0.0000)
Ac (0.1196, 0.1196, 0.4286)
Ac (0.1729, 0.1729, 0.8317)
Ac (0.8271, 0.8271, 0.1683)
Ac (0.8804, 0.8804, 0.5714)
Tl (0.2556, 0.2556, 0.2716)
Tl (0.4469, 0.4469, 0.1532)
Tl (0.5000, 0.5000, 0.5000)
Tl (0.5531, 0.5531, 0.8468)
Tl (0.7444, 0.7444, 0.7284)
Hg (0.3494, 0.3494, 0.7564)
Hg (0.6506, 0.6506, 0.2436)

Computed, not measured: Ac3TlHg5 after structural relaxation at the GGA-PBE level of DFT.

Space group: P6_3/mcm
Formation energy from the elements: -3.98 eV/f.u.
Magnetic moment: 0.00 μB per atom

Cell: 9.6927 9.6927 6.8179 Å, 90.00 90.00 120.00°
Fractional coordinates of all 18 atoms:
Ac (0.0000, 0.3473, 0.2500)
Ac (0.0000, 0.6527, 0.7500)
Ac (0.3473, 0.0000, 0.2500)
Ac (0.3473, 0.3473, 0.7500)
Ac (0.6527, 0.0000, 0.7500)
Ac (0.6527, 0.6527, 0.2500)
Tl (0.0000, 0.0000, 0.0000)
Tl (0.0000, 0.0000, 0.5000)
Hg (0.0000, 0.3191, 0.7500)
Hg (0.0000, 0.6809, 0.2500)
Hg (0.3191, 0.0000, 0.7500)
Hg (0.3191, 0.3191, 0.2500)
Hg (0.3333, 0.6667, 0.0000)
Hg (0.3333, 0.6667, 0.5000)
Hg (0.6667, 0.3333, 0.0000)
Hg (0.6667, 0.3333, 0.5000)
Hg (0.6809, 0.0000, 0.2500)
Hg (0.6809, 0.6809, 0.7500)

Computed, not measured: Ac6Tl5Hg after structural relaxation at the GGA-PBE level of DFT.

Space group: C2/m
Formation energy from the elements: -3.05 eV/f.u.
Magnetic moment: 0.00 μB per atom
Excess energy over the best structure of this formula in the dataset: 115 meV/atom

Cell: 7.2109 7.2109 10.4586 Å, 96.38 96.38 120.52°
Fractional coordinates of all 12 atoms:
Ac (0.0789, 0.4098, 0.7459)
Ac (0.2435, 0.2435, 0.2346)
Ac (0.4098, 0.0789, 0.7459)
Ac (0.5902, 0.9211, 0.2541)
Ac (0.7565, 0.7565, 0.7654)
Ac (0.9211, 0.5902, 0.2541)
Tl (0.0000, 0.0000, 0.5000)
Tl (0.1858, 0.8142, 0.0000)
Tl (0.3504, 0.6496, 0.5000)
Tl (0.6496, 0.3504, 0.5000)
Tl (0.8142, 0.1858, 0.0000)
Hg (0.5000, 0.5000, 0.0000)

Computed, not measured: Ac3Tl2Hg7 after structural relaxation at the GGA-PBE level of DFT.

Space group: P2/m
Formation energy from the elements: -3.41 eV/f.u.
Magnetic moment: 0.00 μB per atom

Cell: 5.1037 4.4889 16.0499 Å, 90.00 98.69 90.00°
Fractional coordinates of all 12 atoms:
Ac (0.0000, 0.0000, 0.0000)
Ac (0.3174, 0.5000, 0.6362)
Ac (0.6826, 0.5000, 0.3638)
Tl (0.1413, 0.0000, 0.2787)
Tl (0.8587, 0.0000, 0.7213)
Hg (0.0714, 0.5000, 0.1534)
Hg (0.2318, 0.0000, 0.4618)
Hg (0.4213, 0.0000, 0.8417)
Hg (0.5000, 0.5000, 0.0000)
Hg (0.5787, 0.0000, 0.1583)
Hg (0.7682, 0.0000, 0.5382)
Hg (0.9286, 0.5000, 0.8466)

Computed, not measured: Ac4TlHg5 after structural relaxation at the GGA-PBE level of DFT.

Space group: P4/mmm
Formation energy from the elements: -4.09 eV/f.u.
Magnetic moment: 0.00 μB per atom

Cell: 4.0716 4.0716 19.3197 Å, 90.00 90.00 90.00°
Fractional coordinates of all 10 atoms:
Ac (0.0000, 0.0000, 0.1049)
Ac (0.0000, 0.0000, 0.3121)
Ac (0.0000, 0.0000, 0.6879)
Ac (0.0000, 0.0000, 0.8951)
Tl (0.0000, 0.0000, 0.5000)
Hg (0.5000, 0.5000, 0.0000)
Hg (0.5000, 0.5000, 0.2071)
Hg (0.5000, 0.5000, 0.4092)
Hg (0.5000, 0.5000, 0.5908)
Hg (0.5000, 0.5000, 0.7929)